[1]
Na2Pm3NdS6 | PBE-GGA | relaxed

abc: 7.0105 7.0105 7.0481
angles: 99.53 99.53 119.95
With the nearest neighbours (Å) after each atom.
Atoms (fractional coordinates):
Na 0.3338 0.6662 0.0000  6 S 2.89-2.90
Na 0.6662 0.3338 0.0000  6 S 2.89-2.90
Pm 0.1690 0.8310 0.5000  6 S 2.85-2.86
Pm 0.8310 0.1690 0.5000  6 S 2.85-2.86
Pm 0.5000 0.5000 0.5000  6 S 2.85-2.86
Nd 0.0000 0.0000 0.0000  6 S 2.87-2.88
S 0.9155 0.5842 0.7468  3 Pm 2.85, 1 Nd 2.87, 2 Na 2.89
S 0.7548 0.7548 0.2568  3 Pm 2.86, 1 Nd 2.88, 2 Na 2.90
S 0.0845 0.4158 0.2532  3 Pm 2.85, 1 Nd 2.87, 2 Na 2.89
S 0.5842 0.9155 0.7468  3 Pm 2.85, 1 Nd 2.87, 2 Na 2.89
S 0.2452 0.2452 0.7432  3 Pm 2.86, 1 Nd 2.88, 2 Na 2.90
S 0.4158 0.0845 0.2532  3 Pm 2.85, 1 Nd 2.87, 2 Na 2.89

Properties
ρ = 4.79 g cm⁻³
raw formation energy = -1.878 eV per atom
electronic total energy = -0.2112 Ha/atom

***

[2]
Na2PmNd3S6 | PBE-GGA | relaxed

abc: 7.0421 7.0421 7.0532
angles: 99.56 99.56 119.95
With the nearest neighbours (Å) after each atom.
Atoms (fractional coordinates):
Na 0.3339 0.6661 0.0000  6 S 2.89-2.90
Na 0.6661 0.3339 0.0000  6 S 2.89-2.90
Pm 0.0000 0.0000 0.0000  6 S 2.85-2.87
Nd 0.1694 0.8306 0.5000  6 S 2.87-2.88
Nd 0.8306 0.1694 0.5000  6 S 2.87-2.88
Nd 0.5000 0.5000 0.5000  6 S 2.87-2.89
S 0.9167 0.5872 0.7504  1 Pm 2.85, 3 Nd 2.87-2.88, 2 Na 2.89
S 0.7557 0.7557 0.2537  1 Pm 2.87, 3 Nd 2.87-2.89, 2 Na 2.90
S 0.0833 0.4128 0.2496  1 Pm 2.85, 3 Nd 2.87-2.88, 2 Na 2.89
S 0.5872 0.9167 0.7504  1 Pm 2.85, 3 Nd 2.87-2.88, 2 Na 2.89
S 0.2443 0.2443 0.7463  1 Pm 2.87, 3 Nd 2.87-2.89, 2 Na 2.90
S 0.4128 0.0833 0.2496  1 Pm 2.85, 3 Nd 2.87-2.88, 2 Na 2.89

Properties
ρ = 4.74 g cm⁻³
raw formation energy = -1.870 eV per atom
electronic total energy = -0.2110 Ha/atom

***

[3]
Na4Pm3NdS8 | PBE-GGA | relaxed

abc: 8.2194 8.2034 8.2186
angles: 120.08 120.00 90.00
With the nearest neighbours (Å) after each atom.
Atoms (fractional coordinates):
Na 0.5000 0.0000 0.0000  6 S 2.96
Na 0.5000 0.0000 0.5000  6 S 2.98
Na 0.0000 0.0000 0.0000  6 S 2.97-2.98
Na 0.0000 0.0000 0.5000  6 S 2.98
Pm 0.5000 0.5000 0.0000  6 S 2.83
Pm 0.5000 0.5000 0.5000  6 S 2.83
Pm 0.0000 0.5000 0.5000  6 S 2.83
Nd 0.0000 0.5000 0.0000  6 S 2.85
S 0.2450 0.7325 0.9875  2 Pm 2.83, 1 Nd 2.85, 3 Na 2.96-2.98
S 0.2450 0.7325 0.4900  2 Pm 2.83, 1 Nd 2.85, 3 Na 2.96-2.98
S 0.2561 0.2683 0.5121  3 Pm 2.83, 3 Na 2.97-2.98
S 0.7426 0.7325 0.9875  2 Pm 2.83, 1 Nd 2.85, 3 Na 2.96-2.98
S 0.2574 0.2675 0.0125  2 Pm 2.83, 1 Nd 2.85, 3 Na 2.96-2.98
S 0.7439 0.7317 0.4879  3 Pm 2.83, 3 Na 2.97-2.98
S 0.7550 0.2675 0.5100  2 Pm 2.83, 1 Nd 2.85, 3 Na 2.96-2.98
S 0.7550 0.2675 0.0125  2 Pm 2.83, 1 Nd 2.85, 3 Na 2.96-2.98

Properties
ρ = 3.94 g cm⁻³
raw formation energy = -1.805 eV per atom
electronic total energy = -0.1980 Ha/atom

***

[4]
Na3Pm2NdSe6 | PBE-GGA | relaxed

abc: 7.3879 7.3879 7.4307
angles: 99.54 99.54 120.00
With the nearest neighbours (Å) after each atom.
Atoms (fractional coordinates):
Na 0.1665 0.8335 0.5000  6 Se 3.07-3.09
Na 0.8335 0.1665 0.5000  6 Se 3.07-3.09
Na 0.5000 0.5000 0.5000  6 Se 3.07-3.09
Pm 0.3333 0.6667 0.0000  6 Se 2.96
Pm 0.6667 0.3333 0.0000  6 Se 2.96
Nd 0.0000 0.0000 0.0000  6 Se 2.97-2.98
Se 0.9215 0.5865 0.7647  2 Pm 2.96, 1 Nd 2.97, 3 Na 3.07-3.09
Se 0.7435 0.7435 0.2355  2 Pm 2.96, 1 Nd 2.98, 3 Na 3.07-3.09
Se 0.0785 0.4135 0.2353  2 Pm 2.96, 1 Nd 2.97, 3 Na 3.07-3.09
Se 0.5865 0.9215 0.7647  2 Pm 2.96, 1 Nd 2.97, 3 Na 3.07-3.09
Se 0.2565 0.2565 0.7645  2 Pm 2.96, 1 Nd 2.98, 3 Na 3.07-3.09
Se 0.4135 0.0785 0.2353  2 Pm 2.96, 1 Nd 2.97, 3 Na 3.07-3.09

Properties
ρ = 4.90 g cm⁻³
raw formation energy = -1.690 eV per atom
electronic total energy = -0.1819 Ha/atom

***

[5]
NaPm2NdSe4 | PBE-GGA | relaxed

abc: 4.1941 7.3102 7.3162
angles: 109.12 90.00 90.00
With the nearest neighbours (Å) after each atom.
Atoms (fractional coordinates):
Na 0.5000 0.5000 0.0000  6 Se 2.96-2.99
Pm 0.5000 0.0000 0.5000  6 Se 2.97-2.99
Pm 0.0000 0.5000 0.5000  6 Se 2.97
Nd 0.0000 0.0000 0.0000  6 Se 2.99
Se 0.5000 0.2531 0.2506  1 Na 2.96, 3 Pm 2.97-2.99, 2 Nd 2.99
Se 0.5000 0.7469 0.7494  1 Na 2.96, 3 Pm 2.97-2.99, 2 Nd 2.99
Se 0.0000 0.2493 0.7474  3 Pm 2.97, 1 Nd 2.99, 2 Na 2.99
Se 0.0000 0.7507 0.2526  3 Pm 2.97, 1 Nd 2.99, 2 Na 2.99

Properties
ρ = 6.06 g cm⁻³
raw formation energy = -1.771 eV per atom
electronic total energy = -0.2007 Ha/atom

***

[6]
Na2PmNdSe4 | PBE-GGA | relaxed

abc: 4.2702 7.3934 7.4360
angles: 109.35 90.00 90.00
With the nearest neighbours (Å) after each atom.
Atoms (fractional coordinates):
Na 0.5000 0.0000 0.5000  6 Se 3.09
Na 0.0000 0.5000 0.5000  6 Se 3.08
Pm 0.5000 0.5000 0.0000  6 Se 2.96
Nd 0.0000 0.0000 0.0000  6 Se 2.97-2.98
Se 0.5000 0.2468 0.2359  1 Pm 2.96, 2 Nd 2.97, 3 Na 3.08-3.09
Se 0.5000 0.7532 0.7641  1 Pm 2.96, 2 Nd 2.97, 3 Na 3.08-3.09
Se 0.0000 0.2565 0.7649  2 Pm 2.96, 1 Nd 2.98, 3 Na 3.08-3.09
Se 0.0000 0.7435 0.2351  2 Pm 2.96, 1 Nd 2.98, 3 Na 3.08-3.09

Properties
ρ = 4.88 g cm⁻³
raw formation energy = -1.688 eV per atom
electronic total energy = -0.1819 Ha/atom

***

[7]
Na3PmNd2Se6 | PBE-GGA | relaxed

abc: 7.4061 7.4061 7.4342
angles: 99.56 99.56 120.00
With the nearest neighbours (Å) after each atom.
Atoms (fractional coordinates):
Na 0.1669 0.8331 0.5000  6 Se 3.08-3.09
Na 0.8331 0.1669 0.5000  6 Se 3.08-3.09
Na 0.5000 0.5000 0.5000  6 Se 3.08-3.10
Pm 0.0000 0.0000 0.0000  6 Se 2.96
Nd 0.3334 0.6666 0.0000  6 Se 2.98
Nd 0.6666 0.3334 0.0000  6 Se 2.98
Se 0.9214 0.5898 0.7641  1 Pm 2.96, 2 Nd 2.98, 3 Na 3.08-3.09
Se 0.7470 0.7470 0.2357  1 Pm 2.96, 2 Nd 2.98, 3 Na 3.08-3.10
Se 0.0786 0.4102 0.2359  1 Pm 2.96, 2 Nd 2.98, 3 Na 3.08-3.09
Se 0.5898 0.9214 0.7641  1 Pm 2.96, 2 Nd 2.98, 3 Na 3.08-3.09
Se 0.2530 0.2530 0.7643  1 Pm 2.96, 2 Nd 2.98, 3 Na 3.08-3.10
Se 0.4102 0.0786 0.2359  1 Pm 2.96, 2 Nd 2.98, 3 Na 3.08-3.09

Properties
ρ = 4.87 g cm⁻³
raw formation energy = -1.687 eV per atom
electronic total energy = -0.1819 Ha/atom

***

[8]
Na2Pm3NdSe6 | PBE-GGA | relaxed

abc: 7.2878 7.2878 7.3462
angles: 99.51 99.51 119.96
With the nearest neighbours (Å) after each atom.
Atoms (fractional coordinates):
Na 0.3339 0.6661 0.0000  6 Se 2.99-3.00
Na 0.6661 0.3339 0.0000  6 Se 2.99-3.00
Pm 0.1684 0.8316 0.5000  6 Se 2.97-2.98
Pm 0.8316 0.1684 0.5000  6 Se 2.97-2.98
Pm 0.5000 0.5000 0.5000  6 Se 2.97-2.98
Nd 0.0000 0.0000 0.0000  6 Se 2.99-3.00
Se 0.9161 0.5834 0.7484  3 Pm 2.97-2.98, 1 Nd 2.99, 2 Na 2.99-3.00
Se 0.7529 0.7529 0.2548  3 Pm 2.97-2.98, 1 Nd 3.00, 2 Na 3.00
Se 0.0839 0.4166 0.2516  3 Pm 2.97-2.98, 1 Nd 2.99, 2 Na 2.99-3.00
Se 0.5834 0.9161 0.7484  3 Pm 2.97-2.98, 1 Nd 2.99, 2 Na 2.99-3.00
Se 0.2471 0.2471 0.7452  3 Pm 2.97-2.98, 1 Nd 3.00, 2 Na 3.00
Se 0.4166 0.0839 0.2516  3 Pm 2.97-2.98, 1 Nd 2.99, 2 Na 2.99-3.00

Properties
ρ = 5.72 g cm⁻³
raw formation energy = -1.741 eV per atom
electronic total energy = -0.1943 Ha/atom

***

> The highest ρ belongs to which entry?

NaPm2NdSe4

***

> The lowest electronic total energy belongs to which entry?

Na2Pm3NdS6

***

Repeat the sixth record exactly.
Na2PmNdSe4 | PBE-GGA | relaxed

abc: 4.2702 7.3934 7.4360
angles: 109.35 90.00 90.00
With the nearest neighbours (Å) after each atom.
Atoms (fractional coordinates):
Na 0.5000 0.0000 0.5000  6 Se 3.09
Na 0.0000 0.5000 0.5000  6 Se 3.08
Pm 0.5000 0.5000 0.0000  6 Se 2.96
Nd 0.0000 0.0000 0.0000  6 Se 2.97-2.98
Se 0.5000 0.2468 0.2359  1 Pm 2.96, 2 Nd 2.97, 3 Na 3.08-3.09
Se 0.5000 0.7532 0.7641  1 Pm 2.96, 2 Nd 2.97, 3 Na 3.08-3.09
Se 0.0000 0.2565 0.7649  2 Pm 2.96, 1 Nd 2.98, 3 Na 3.08-3.09
Se 0.0000 0.7435 0.2351  2 Pm 2.96, 1 Nd 2.98, 3 Na 3.08-3.09

Properties
ρ = 4.88 g cm⁻³
raw formation energy = -1.688 eV per atom
electronic total energy = -0.1819 Ha/atom